Material: CoAsBr2
Method: DFT, GGA-PBE
State: relaxed

Output
ρ: 5.3 g/cm³
N(E_F): 12.23 states/eV per cell
E above lowest polymorph: 525 meV/atom
energy: -0.1224 Ha/atom

a = 3.306 Å, b = 6.179 Å, c = 8.965 Å
α = 90.00°, β = 90.00°, γ = 90.00°
Space group Cmmm (No. 65)
Inequivalent atoms, fractional coordinates:
Co1 0.000 0.000 0.000 x2
As1 0.000 0.000 0.500 x2
Br1 0.000 0.500 0.191 x4